[1]
The following is a PBE calculation of a relaxed AlFe2W crystal, from Alexandria.

a b c (Å): 3.1482 4.2133 8.0539
angles (deg): 90.00 90.00 90.00
Closest atoms and distances in Å follow each position.
Space group Cmmm (No. 65)
Asymmetric unit:
Al (0.0000, 0.0000, 0.0000)  4 Fe 2.51, 4 Al 2.63
Fe (0.0000, 0.5000, 0.2420)  2 Al 2.51, 2 W 2.61, 4 Fe 2.63
W (0.0000, 0.0000, 0.5000)  4 Fe 2.61, 4 W 2.63

[2]
The following is a PBE calculation of a relaxed RbNaReO2 crystal, from Alexandria.

Computed properties:
* raw formation energy: 1581 meV/atom

a b c (Å): 4.9208 4.9208 4.9816
angles (deg): 90.00 90.00 90.00
Closest atoms and distances in Å follow each position.
Space group P4/mmm (No. 123)
Asymmetric unit:
Rb (0.0000, 0.0000, 0.0000)  4 O 2.46, 2 Na 2.49
Na (0.0000, 0.0000, 0.5000)  2 Rb 2.49
Re (0.5000, 0.5000, 0.5000)  4 Na 3.48, 8 O 3.50
O (0.0000, 0.5000, 0.0000)  2 Rb 2.46

no.,M_tot (μB/cell),total DFT energy (no corrections) (eV per atom)
1,7.59,-8.432
2,4.13,-3.349